[1]
A plane-wave DFT calculation with GGA-PBE was carried out for a relaxed CdSN2F crystal.

The structure belongs to space group P4/mmm (No. 123); the cell edges are 3.424, 3.424 and 5.709 Å and the angles 90.00°, 90.00° and 90.00°. The distinct sites, in fractional coordinates, are Cd at (0.000, 0.000, 0.000), S at (0.500, 0.500, 0.500), N at (0.000, 0.500, 0.500) and F at (0.500, 0.500, 0.000).

For the formation energy without anion corrections, the calculation gives 0.718 eV per atom.

***

[2]
A plane-wave DFT calculation with GGA-PBE was carried out for a relaxed CdSN2F crystal.

The structure belongs to space group P4/mmm (No. 123); the cell edges are 4.038, 4.038 and 4.558 Å and the angles 90.00°, 90.00° and 90.00°. The distinct sites, in fractional coordinates, are Cd at (0.000, 0.000, 0.000), S at (0.500, 0.500, 0.000), N at (0.000, 0.500, 0.500) and F at (0.500, 0.500, 0.500).

For the formation energy without anion corrections, the calculation gives 1.951 eV per atom.

***

[3]
A plane-wave DFT calculation with GGA-PBE was carried out for a relaxed CdSN2F crystal.

The structure belongs to space group P4/mmm (No. 123); the cell edges are 4.457, 4.457 and 4.316 Å and the angles 90.00°, 90.00° and 90.00°. The distinct sites, in fractional coordinates, are Cd at (0.000, 0.000, 0.000), S at (0.500, 0.500, 0.500), N at (0.000, 0.500, 0.000) and F at (0.000, 0.000, 0.500).

For the formation energy without anion corrections, the calculation gives 1.577 eV per atom.

***

[4]
A plane-wave DFT calculation with GGA-PBE was carried out for a relaxed CdSNF2 crystal.

The structure belongs to space group P4/mmm (No. 123); the cell edges are 4.728, 4.728 and 3.290 Å and the angles 90.00°, 90.00° and 90.00°. The distinct sites, in fractional coordinates, are Cd at (0.000, 0.000, 0.000), S at (0.500, 0.500, 0.500), N at (0.500, 0.500, 0.000) and F at (0.000, 0.500, 0.500).

For the formation energy without anion corrections, the calculation gives -0.156 eV per atom.

***

| no. | total energy (eV/atom) |
| --- | --- |
| 1 | -3.994 |
| 2 | -2.762 |
| 3 | -3.136 |
| 4 | -3.578 |